The following is a GGA-PBE calculation of a relaxed Cs2KAuO2 crystal, from Alexandria via LeMat-Bulk.

```
data_Cs2KAuO2
_chemical_formula_sum 'Cs4 K2 Au2 O4'
_cell_length_a 4.436
_cell_length_b 6.400
_cell_length_c 11.752
_cell_angle_alpha 90.00
_cell_angle_beta 90.00
_cell_angle_gamma 90.00
_symmetry_space_group_name_H-M 'P 1'
_symmetry_Int_Tables_number 1
_symmetry_space_group_name_Hall 'P 1'
loop_
_atom_site_label
_atom_site_type_symbol
_atom_site_fract_x
_atom_site_fract_y
_atom_site_fract_z
Cs1 Cs 0.500 0.111 0.240
Cs2 Cs 0.000 0.611 0.260
Cs3 Cs 0.500 0.889 0.760
Cs4 Cs 0.000 0.389 0.740
K1 K 0.500 0.500 0.000
K2 K 0.000 0.000 0.500
Au1 Au 0.000 0.000 0.000
Au2 Au 0.500 0.500 0.500
O1 O 0.500 0.759 0.398
O2 O 0.500 0.241 0.602
O3 O 0.000 0.741 0.898
O4 O 0.000 0.259 0.102
```

SG: Pnnm, No. 58
M_tot: 0.00 μB per cell
Formation energy (no corrections): -0.96 eV per atom